No. 1
# Y2HoUO8

An optimized crystal structure of Y2HoUO8 (PBE-GGA, Alexandria via LeMat-Bulk).

Properties
* space-group type: Pmmm, No. 47
* raw formation energy: -3266 meV/atom

a = 3.860 Å, b = 5.333 Å, c = 7.532 Å
α = 90.00°, β = 90.00°, γ = 90.00°
Fractional positions:
1 Y 0.000 0.000 0.249
2 Y 0.000 0.000 0.751
3 Ho 0.500 0.500 0.000
4 U 0.500 0.500 0.500
5 O 0.000 0.251 0.000
6 O 0.000 0.268 0.500
7 O 0.000 0.732 0.500
8 O 0.000 0.749 0.000
9 O 0.500 0.260 0.271
10 O 0.500 0.260 0.729
11 O 0.500 0.740 0.271
12 O 0.500 0.740 0.729


No. 2
# YHoUO6

An optimized crystal structure of YHoUO6 (PBE-GGA, Alexandria via LeMat-Bulk).

Properties
* space-group type: P-31c, No. 163
* raw formation energy: -3350 meV/atom

a = 5.758 Å, b = 5.758 Å, c = 9.387 Å
α = 90.00°, β = 90.00°, γ = 120.00°
Fractional positions:
1 Y 0.000 0.000 0.000
2 Y 0.000 0.000 0.500
3 Ho 0.333 0.667 0.250
4 Ho 0.667 0.333 0.750
5 U 0.333 0.667 0.750
6 U 0.667 0.333 0.250
7 O 0.022 0.354 0.634
8 O 0.022 0.667 0.866
9 O 0.333 0.354 0.866
10 O 0.333 0.978 0.634
11 O 0.354 0.022 0.134
12 O 0.354 0.333 0.366
13 O 0.646 0.667 0.634
14 O 0.646 0.978 0.866
15 O 0.667 0.022 0.366
16 O 0.667 0.646 0.134
17 O 0.978 0.333 0.134
18 O 0.978 0.646 0.366


No. 3
# YHo2UO8

An optimized crystal structure of YHo2UO8 (PBE-GGA, Alexandria via LeMat-Bulk).

Properties
* space-group type: Pmmm, No. 47
* raw formation energy: -3283 meV/atom

a = 3.856 Å, b = 5.308 Å, c = 7.530 Å
α = 90.00°, β = 90.00°, γ = 90.00°
Fractional positions:
1 Y 0.000 0.000 0.000
2 Ho 0.500 0.500 0.250
3 Ho 0.500 0.500 0.750
4 U 0.000 0.000 0.500
5 O 0.000 0.243 0.272
6 O 0.000 0.243 0.728
7 O 0.000 0.757 0.272
8 O 0.000 0.757 0.728
9 O 0.500 0.233 0.500
10 O 0.500 0.253 0.000
11 O 0.500 0.747 0.000
12 O 0.500 0.767 0.500